1.
DFT (PBE-GGA) results for a relaxed structure of SrC2.

Space-group type: Pa-3
Uncorrected energy, eV/cell: -79.9
Magnetization, μB per atom: 0.000

Cell: 6.1938 6.1938 6.1938 Å, 90.00 90.00 90.00°
Last column: nearest neighbours and their distance in Å.
Element x y z (fractional)
C (0.5587, 0.5587, 0.4413)  1 C 1.26
C (0.4413, 0.4413, 0.5587)  1 C 1.26
C (0.0587, 0.9413, 0.5587)  1 C 1.26
C (0.9413, 0.0587, 0.4413)  1 C 1.26
C (0.4413, 0.0587, 0.0587)  1 C 1.26
C (0.5587, 0.9413, 0.9413)  1 C 1.26
C (0.9413, 0.4413, 0.9413)  1 C 1.26
C (0.0587, 0.5587, 0.0587)  1 C 1.26
Sr (0.0000, 0.0000, 0.0000)  6 C 2.78
Sr (0.5000, 0.5000, 0.0000)  6 C 2.78
Sr (0.5000, 0.0000, 0.5000)  6 C 2.78
Sr (0.0000, 0.5000, 0.5000)  6 C 2.78

2.
DFT (PBE-GGA) results for a relaxed structure of SrC2.

Space-group type: P6_3/mmc
Uncorrected energy, eV/cell: -25.6
Magnetization, μB per atom: 0.204

Cell: 4.5238 4.5238 5.4878 Å, 90.00 90.00 120.00°
Last column: nearest neighbours and their distance in Å.
Element x y z (fractional)
Sr (0.6667, 0.3333, 0.2500)  5 C 2.61-2.74
Sr (0.3333, 0.6667, 0.7500)  5 C 2.61-2.74
C (0.0000, 0.0000, 0.0000)  8 C 2.74-2.95, 6 Sr 2.95
C (0.0000, 0.0000, 0.5000)  8 C 2.74-2.95, 6 Sr 2.95
C (0.3333, 0.6667, 0.2500)  5 Sr 2.61-2.74
C (0.6667, 0.3333, 0.7500)  5 Sr 2.61-2.74

3.
DFT (PBE-GGA) results for a relaxed structure of SrC2.

Space-group type: I4/mmm
Uncorrected energy, eV/cell: -13.8
Magnetization, μB per atom: 0.000

Cell: 5.0224 5.0224 5.0224 Å, 147.18 147.18 47.10°
Last column: nearest neighbours and their distance in Å.
Element x y z (fractional)
Sr (0.0000, 0.0000, 0.0000)  10 C 2.61-2.83, 4 Sr 2.84
C (0.2840, 0.2840, 0.0000)  4 C 2.10
C (0.7160, 0.7160, 0.0000)  4 C 2.10

4.
DFT (PBE-GGA) results for a relaxed structure of SrC2.

Space-group type: I4/mcm
Uncorrected energy, eV/cell: -38.6
Magnetization, μB per atom: 0.000

Cell: 5.2263 5.2263 5.2263 Å, 116.57 116.57 96.05°
Last column: nearest neighbours and their distance in Å.
Element x y z (fractional)
Sr (0.2500, 0.2500, 0.0000)  8 C 2.92
Sr (0.7500, 0.7500, 0.0000)  8 C 2.92
C (0.4191, 0.9191, 0.3382)  1 C 1.26
C (0.5809, 0.0809, 0.6618)  1 C 1.26
C (0.0809, 0.4191, 0.5000)  1 C 1.26
C (0.9191, 0.5809, 0.5000)  1 C 1.26

5.
DFT (PBE-GGA) results for a relaxed structure of Sr2C.

Space-group type: Fd-3m
Excess energy over the best structure of this formula in the dataset, meV per atom: 2294
Magnetization, μB per atom: 0.341

Cell: 6.5829 6.5829 6.5829 Å, 60.00 60.00 60.00°
Last column: nearest neighbours and their distance in Å.
Element x y z (fractional)
Sr (0.6250, 0.1250, 0.1250)  6 Sr 3.29
Sr (0.1250, 0.6250, 0.1250)  6 Sr 3.29
Sr (0.1250, 0.1250, 0.6250)  6 Sr 3.29
Sr (0.1250, 0.1250, 0.1250)  6 Sr 3.29
C (0.5000, 0.5000, 0.5000)  12 Sr 3.86, 4 C 4.03
C (0.7500, 0.7500, 0.7500)  12 Sr 3.86, 4 C 4.03

6.
DFT (PBE-GGA) results for a relaxed structure of SrC.

Space-group type: P4/mmm
Excess energy over the best structure of this formula in the dataset, meV per atom: 1611
Magnetization, μB per atom: 1.001

Cell: 5.6630 5.6630 5.3903 Å, 90.00 90.00 90.00°
Last column: nearest neighbours and their distance in Å.
Element x y z (fractional)
Sr (0.5000, 0.5000, 0.5000)  6 C 2.70-2.83
Sr (0.5000, 0.0000, 0.0000)  4 C 2.70-2.83
Sr (0.0000, 0.5000, 0.0000)  4 C 2.70-2.83
C (0.5000, 0.5000, 0.0000)  6 Sr 2.70-2.83
C (0.0000, 0.5000, 0.5000)  4 Sr 2.70-2.83
C (0.5000, 0.0000, 0.5000)  4 Sr 2.70-2.83